Here is a geometry-optimized Y3HPd structure from Alexandria via LeMat-Bulk. Energies are from GGA-PBEsol.

POSCAR file:
```
Y3HPd
1.0
4.6495 0.0000 0.0000
0.0000 4.6495 0.0000
0.0000 0.0000 4.6495
Pd Y H
1 3 1
Cartesian
2.3247 2.3247 2.3247
0.0000 2.3247 0.0000
2.3247 0.0000 0.0000
0.0000 0.0000 2.3247
0.0000 0.0000 0.0000
```

Computed properties:
**Calculated density**: 6181 kg/m³
**Space group**: Pm-3m (221)

***

Here is a geometry-optimized RbHoO3 structure from Alexandria via LeMat-Bulk. Energies are from GGA-PBEsol.

POSCAR file:
```
RbHoO3
1.0
4.4164 0.0000 0.0000
0.0000 4.4164 0.0000
0.0000 0.0000 4.4164
O Rb Ho
3 1 1
Cartesian
2.2082 0.0000 2.2082
0.0000 2.2082 2.2082
2.2082 2.2082 0.0000
0.0000 0.0000 0.0000
2.2082 2.2082 2.2082
```

Computed properties:
**Calculated density**: 5752 kg/m³
**Space group**: Pm-3m (221)
**Formation energy (no corrections)**: -1.873 eV/atom

***

Here is a geometry-optimized LaTc2Rh structure from Alexandria via LeMat-Bulk. Energies are from GGA-PBEsol.

POSCAR file:
```
LaTc2Rh
1.0
-0.0402 1.3708 -2.8121
0.6874 -3.9579 -1.9392
-4.9008 -0.7148 -0.2783
Tc La Rh
2 1 1
Cartesian
0.3236 -1.2935 -2.3756
0.0000 0.0000 0.0000
-2.4705 0.3280 -1.5452
-2.1067 -2.3364 -1.1088
```

Computed properties:
**E_form**: 0.3873 eV per atom
**Energy above the lowest structure with this stoichiometry**: 6.77 kcal/mol of atoms
**Calculated density**: 10502 kg/m³
**Space group**: Pmmm (47)

***

Here is a geometry-optimized Al2CrTePd structure from Alexandria via LeMat-Bulk. Energies are from GGA-PBEsol.

POSCAR file:
```
Al2CrTePd
1.0
-4.7785 0.4565 -0.7542
0.7578 -0.4647 -5.0828
-0.5496 -5.1160 0.3858
Cr Te Pd Al
1 1 1 2
Cartesian
-2.3893 0.2282 -0.3771
0.0000 0.0000 0.0000
-2.2852 -2.5621 -2.7256
-0.2748 -2.5580 0.1929
0.3789 -0.2324 -2.5414
```

Computed properties:
**Calculated density**: 4364 kg/m³
**Space group**: P4/mmm (123)
**Formation energy (no corrections)**: 1.292 eV/atom

***

Here is a geometry-optimized Y2InSe structure from Alexandria via LeMat-Bulk. Energies are from GGA-PBEsol.

POSCAR file:
```
Y2InSe
1.0
-0.2586 -1.0633 -3.7703
2.9493 -3.2412 0.7118
-4.4269 -3.7304 1.3558
Y In Se
2 1 1
Cartesian
1.3454 -2.1523 -1.5292
-2.2134 -1.8652 0.6779
0.0000 0.0000 0.0000
-0.8681 -4.0175 -0.8514
```

Computed properties:
**Energy above the lowest structure with this stoichiometry**: 2.55 kcal/mol of atoms
**Calculated density**: 5954 kg/m³
**Space group**: Pmmm (47)
**Formation energy (no corrections)**: -1.059 eV/atom

***

Here is a geometry-optimized ZnTe structure from Alexandria via LeMat-Bulk. Energies are from GGA-PBEsol.

POSCAR file:
```
ZnTe
1.0
3.8051 0.0000 0.0000
0.0000 3.9184 0.0000
0.0000 1.9592 3.3383
Te Zn
1 1
Cartesian
0.0000 0.0000 0.0000
1.9025 1.9592 0.0000
```

Computed properties:
**Calculated density**: 6439 kg/m³
**Space group**: Cmmm (65)
**Formation energy (no corrections)**: 0.087 eV/atom

***

Here is a geometry-optimized Zr2Ge2Au structure from Alexandria via LeMat-Bulk. Energies are from GGA-PBEsol.

POSCAR file:
```
Zr2Ge2Au
1.0
-0.5783 -3.3790 -1.8088
6.6057 -1.4819 0.6564
-1.2638 -2.9847 5.9797
Zr Ge Au
4 4 2
Cartesian
1.6182 -2.6969 0.3678
3.1455 -5.1486 4.4595
0.0263 -3.9739 3.2622
4.7374 -3.8716 1.5650
4.9719 -3.1656 4.3240
0.3701 -1.3010 2.3121
1.3589 -3.1569 5.4629
3.9830 -1.3096 1.1731
0.0000 0.0000 0.0000
2.6710 -2.2333 3.3180
```

Computed properties:
**E_form**: -0.7056 eV per atom
**Calculated density**: 9718 kg/m³
**Space group**: P4/mbm (127)

***

Here is a geometry-optimized CoIr2Os structure from Alexandria via LeMat-Bulk. Energies are from GGA-PBEsol.

POSCAR file:
```
CoIr2Os
1.0
-1.3842 -2.2959 -0.1369
2.2841 -1.3535 -0.3959
0.7348 -0.8739 7.2266
Os Ir Co
1 2 1
Cartesian
0.4499 -1.8247 -0.2664
0.5444 -0.6475 5.3541
0.1904 -0.2265 1.8725
0.8173 -2.2616 3.3469
```

Computed properties:
**E_form**: 0.0335 eV per atom
**Energy above the lowest structure with this stoichiometry**: 0.32 kcal/mol of atoms
**Calculated density**: 19957 kg/m³
**Space group**: P4/mmm (123)

***

Computed N(E_F) (states/eV per atom) in order:
1.419; 0.919; 1.369; 0.508; 0.496; 0.520; 0.360; 1.041
Computed E (eV per atom) in order:
-6.244; -6.218; -8.617; -4.290; -6.179; -2.467; -7.102; -9.866